VASP calculation (PBE) on a relaxed structure of ZnAsSe2.

Values from the calculation:
Formation energy without anion corrections (kJ/mol of formula units): 170
Space group: F-43m
Offset from the most stable computed form (meV per atom): 601
Mass density (g/cm3): 6.3
DOS(E_F) (states/eV/atom): 0.8945

```
4
Lattice="4.7975 0.0000 0.0000 2.3987 4.1547 0.0000 2.3987 1.3849 3.9171" Properties=species:S:1:pos:R:3 pbc="T T T"
Se 7.1962 4.1547 2.9378
Se 0.0000 0.0000 0.0000
As 4.7975 2.7698 1.9586
Zn 2.3987 1.3849 0.9793
```